Entry 1:
# PBE Cu4Au, relaxed
# relative energy among the computed polymorphs = 0.608 eV/atom
# total magnetic moment = 0.000 μB/f.u.
# DFT total energy = -3.3511 eV per atom
# ΔE_f = 0.581 eV/atom
# calculated volume = 18.4 Å³ per atom
data_Cu4Au
_chemical_formula_sum 'Cu4 Au1'
_space_group_name_H-M_alt 'P 1'
_space_group_IT_number 1
_space_group_name_Hall 'P 1'
_cell_length_a 4.927
_cell_length_b 4.927
_cell_length_c 4.927
_cell_angle_alpha 109.47
_cell_angle_beta 109.47
_cell_angle_gamma 109.47
loop_
_atom_site_label
_atom_site_fract_x
_atom_site_fract_y
_atom_site_fract_z
Cu1 0.500 0.000 0.000
Cu2 0.500 0.500 0.500
Cu3 0.000 0.500 0.000
Cu4 0.000 0.000 0.500
Au1 0.000 0.000 0.000

Entry 2:
# PBE CuAu2, relaxed
# relative energy among the computed polymorphs = 0.122 eV/atom
# total magnetic moment = 0.000 μB/f.u.
# DFT total energy = -3.4713 eV per atom
# ΔE_f = 0.079 eV/atom
# calculated volume = 18.3 Å³ per atom
data_CuAu2
_chemical_formula_sum 'Cu1 Au2'
_space_group_name_H-M_alt 'P 1'
_space_group_IT_number 1
_space_group_name_Hall 'P 1'
_cell_length_a 4.363
_cell_length_b 4.363
_cell_length_c 2.891
_cell_angle_alpha 90.00
_cell_angle_beta 90.00
_cell_angle_gamma 90.00
loop_
_atom_site_label
_atom_site_fract_x
_atom_site_fract_y
_atom_site_fract_z
Cu1 0.000 0.000 0.000
Au1 0.000 0.500 0.500
Au2 0.500 0.000 0.500